This record from Alexandria via LeMat-Bulk describes a relaxed structure of BaSbBr6. The functional is PBE-GGA.

a = 7.232 Å, b = 7.231 Å, c = 7.925 Å
α = 62.85°, β = 62.83°, γ = 59.98°
Element x y z (fractional)
Br (0.028, 0.408, 0.769)
Br (0.205, 0.972, 0.231)
Br (0.592, 0.205, 0.231)
Br (0.972, 0.592, 0.231)
Br (0.408, 0.795, 0.769)
Br (0.795, 0.028, 0.769)
Ba (0.500, 0.500, 0.500)
Sb (0.000, 0.000, 0.000)

Output
Raw formation energy, meV per atom: -1044
M_tot, μB per cell: 0.0
V, Å³/cell: 305.0